A relaxed structure of YScGaRu2, computed with PBE-GGA.

a = 4.8168 Å, b = 4.8168 Å, c = 5.2293 Å
α = 90.00°, β = 90.00°, γ = 90.00°
Last column: nearest neighbours and their distance in Å.
Sites, in units of the cell vectors:
Y 0.0000 0.0000 0.0000  4 Ru 2.41, 2 Sc 2.61
Sc 0.0000 0.0000 0.5000  2 Y 2.61
Ga 0.5000 0.5000 0.5000  4 Sc 3.41, 8 Ru 3.55
Ru 0.0000 0.5000 0.0000  2 Y 2.41
Ru 0.5000 0.0000 0.0000  2 Y 2.41

E_tot in eV per atom: -5.407
ΔH_f (0 K) in eV per atom: 1.468